Here is a geometry-optimized Pr2GaSi3Au4 structure from Alexandria. Energies are from GGA-PBE.

Summary:
The value obtained for the final energy is -48.16 eV/cell. The energy relative to the elements, uncorrected comes out at -0.62 eV/atom.

abc: 4.3630 4.3630 10.4986
angles: 90.00 90.00 90.00
Positions (direct):
1 Pr 0.0000 0.5000 0.2454
2 Pr 0.5000 0.0000 0.7546
3 Ga 0.0000 0.0000 0.5000
4 Si 0.0000 0.5000 0.8678
5 Si 0.5000 0.0000 0.1322
6 Si 0.5000 0.5000 0.5000
7 Au 0.0000 0.0000 0.0000
8 Au 0.0000 0.5000 0.6343
9 Au 0.5000 0.0000 0.3657
10 Au 0.5000 0.5000 0.0000